(1)
The following is a DFT calculation (PBE-GGA) of an optimized crystal structure of ScCdAg2H.

Structure (CIF):
```
data_ScCdAg2H
_symmetry_space_group_name_H-M 'P 1'
_symmetry_Int_Tables_number 1
_cell_length_a 4.582
_cell_length_b 4.582
_cell_length_c 3.932
_cell_angle_alpha 90.00
_cell_angle_beta 90.00
_cell_angle_gamma 90.00
loop_
_symmetry_equiv_pos_as_xyz
'x,y,z'
loop_
_atom_site_label
_atom_site_fract_x
_atom_site_fract_y
_atom_site_fract_z
Sc1 0.000 0.000 0.000
Cd1 0.500 0.500 0.000
Ag1 0.000 0.500 0.500
Ag2 0.500 0.000 0.500
H1 0.000 0.000 0.500
```

Calculated values
* electronic total energy: -16.9 eV/cell
* magnetization: 0.00 μB per formula unit
* calculated volume: 16.51 A^3/atom

---

(2)
The following is a DFT calculation (PBE-GGA) of an optimized crystal structure of ScCdAgH2.

Structure (CIF):
```
data_ScCdAgH2
_symmetry_space_group_name_H-M 'P 1'
_symmetry_Int_Tables_number 1
_cell_length_a 3.925
_cell_length_b 3.925
_cell_length_c 6.005
_cell_angle_alpha 90.00
_cell_angle_beta 90.00
_cell_angle_gamma 90.00
loop_
_symmetry_equiv_pos_as_xyz
'x,y,z'
loop_
_atom_site_label
_atom_site_fract_x
_atom_site_fract_y
_atom_site_fract_z
Sc1 0.000 0.000 0.000
Cd1 0.000 0.000 0.500
Ag1 0.500 0.500 0.000
H1 0.000 0.500 0.500
H2 0.500 0.000 0.500
```

Calculated values
* electronic total energy: -14.0 eV/cell
* magnetization: 0.43 μB per formula unit
* calculated volume: 18.50 A^3/atom

---

(3)
The following is a DFT calculation (PBE-GGA) of an optimized crystal structure of Sc2CdAgH.

Structure (CIF):
```
data_Sc2CdAgH
_symmetry_space_group_name_H-M 'P 1'
_symmetry_Int_Tables_number 1
_cell_length_a 4.479
_cell_length_b 4.479
_cell_length_c 4.247
_cell_angle_alpha 90.00
_cell_angle_beta 90.00
_cell_angle_gamma 90.00
loop_
_symmetry_equiv_pos_as_xyz
'x,y,z'
loop_
_atom_site_label
_atom_site_fract_x
_atom_site_fract_y
_atom_site_fract_z
Sc1 0.000 0.500 0.000
Sc2 0.500 0.000 0.000
Cd1 0.000 0.000 0.500
Ag1 0.500 0.500 0.500
H1 0.500 0.500 0.000
```

Calculated values
* electronic total energy: -21.0 eV/cell
* magnetization: 0.73 μB per formula unit
* calculated volume: 17.04 A^3/atom

---

(4)
The following is a DFT calculation (PBE-GGA) of an optimized crystal structure of Sc2CdAgH.

Structure (CIF):
```
data_Sc2CdAgH
_symmetry_space_group_name_H-M 'P 1'
_symmetry_Int_Tables_number 1
_cell_length_a 4.436
_cell_length_b 4.436
_cell_length_c 4.345
_cell_angle_alpha 90.00
_cell_angle_beta 90.00
_cell_angle_gamma 90.00
loop_
_symmetry_equiv_pos_as_xyz
'x,y,z'
loop_
_atom_site_label
_atom_site_fract_x
_atom_site_fract_y
_atom_site_fract_z
Sc1 0.000 0.500 0.000
Sc2 0.500 0.000 0.000
Cd1 0.000 0.000 0.500
Ag1 0.500 0.500 0.500
H1 0.000 0.000 0.000
```

Calculated values
* electronic total energy: -20.8 eV/cell
* magnetization: 1.17 μB per formula unit
* calculated volume: 17.10 A^3/atom

---

(5)
The following is a DFT calculation (PBE-GGA) of an optimized crystal structure of Sr2CdAgH.

Structure (CIF):
```
data_Sr2CdAgH
_symmetry_space_group_name_H-M 'P 1'
_symmetry_Int_Tables_number 1
_cell_length_a 5.559
_cell_length_b 5.559
_cell_length_c 4.071
_cell_angle_alpha 90.00
_cell_angle_beta 90.00
_cell_angle_gamma 90.00
loop_
_symmetry_equiv_pos_as_xyz
'x,y,z'
loop_
_atom_site_label
_atom_site_fract_x
_atom_site_fract_y
_atom_site_fract_z
Sr1 0.000 0.500 0.000
Sr2 0.500 0.000 0.000
Cd1 0.000 0.000 0.500
Ag1 0.500 0.500 0.500
H1 0.500 0.500 0.000
```

Calculated values
* electronic total energy: -11.9 eV/cell
* magnetization: 0.00 μB per formula unit
* calculated volume: 25.16 A^3/atom

---

(6)
The following is a DFT calculation (PBE-GGA) of an optimized crystal structure of Sr2CdAgH.

Structure (CIF):
```
data_Sr2CdAgH
_symmetry_space_group_name_H-M 'P 1'
_symmetry_Int_Tables_number 1
_cell_length_a 5.315
_cell_length_b 5.315
_cell_length_c 4.419
_cell_angle_alpha 90.00
_cell_angle_beta 90.00
_cell_angle_gamma 90.00
loop_
_symmetry_equiv_pos_as_xyz
'x,y,z'
loop_
_atom_site_label
_atom_site_fract_x
_atom_site_fract_y
_atom_site_fract_z
Sr1 0.000 0.500 0.000
Sr2 0.500 0.000 0.000
Cd1 0.000 0.000 0.500
Ag1 0.500 0.500 0.500
H1 0.000 0.000 0.000
```

Calculated values
* electronic total energy: -11.7 eV/cell
* magnetization: 0.00 μB per formula unit
* calculated volume: 24.96 A^3/atom

---

(7)
The following is a DFT calculation (PBE-GGA) of an optimized crystal structure of Ta2CdAgH.

Structure (CIF):
```
data_Ta2CdAgH
_symmetry_space_group_name_H-M 'P 1'
_symmetry_Int_Tables_number 1
_cell_length_a 4.011
_cell_length_b 4.011
_cell_length_c 4.746
_cell_angle_alpha 90.00
_cell_angle_beta 90.00
_cell_angle_gamma 90.00
loop_
_symmetry_equiv_pos_as_xyz
'x,y,z'
loop_
_atom_site_label
_atom_site_fract_x
_atom_site_fract_y
_atom_site_fract_z
Ta1 0.000 0.500 0.000
Ta2 0.500 0.000 0.000
Cd1 0.000 0.000 0.500
Ag1 0.500 0.500 0.500
H1 0.000 0.000 0.000
```

Calculated values
* electronic total energy: -29.6 eV/cell
* magnetization: 0.00 μB per formula unit
* calculated volume: 15.27 A^3/atom

---

(8)
The following is a DFT calculation (PBE-GGA) of an optimized crystal structure of Ti2CdAgH.

Structure (CIF):
```
data_Ti2CdAgH
_symmetry_space_group_name_H-M 'P 1'
_symmetry_Int_Tables_number 1
_cell_length_a 3.985
_cell_length_b 3.985
_cell_length_c 4.620
_cell_angle_alpha 90.00
_cell_angle_beta 90.00
_cell_angle_gamma 90.00
loop_
_symmetry_equiv_pos_as_xyz
'x,y,z'
loop_
_atom_site_label
_atom_site_fract_x
_atom_site_fract_y
_atom_site_fract_z
Ti1 0.000 0.500 0.000
Ti2 0.500 0.000 0.000
Cd1 0.000 0.000 0.500
Ag1 0.500 0.500 0.500
H1 0.000 0.000 0.000
```

Calculated values
* electronic total energy: -23.0 eV/cell
* magnetization: 0.01 μB per formula unit
* calculated volume: 14.68 A^3/atom